Record 1
DFT (PBE-GGA) results for a geometry-optimized Zn2InGa9 structure.

V = 19.40 Å³/atom
Electronic total energy = -2.678 eV/atom
ΔH_f (0 K) = 0.032 eV/atom
Distance to the lowest polymorph of the same formula = 0.000 eV per atom

Geometry as extended XYZ:
```
24
Lattice="-5.585 5.585 3.732 5.585 -5.585 3.732 5.585 5.585 -3.732" Properties=species:S:1:pos:R:3 pbc="T T T"
Zn 0.000 0.000 0.000
Zn 2.792 2.792 -1.866
Zn 2.792 -2.792 1.866
Zn 0.000 5.585 0.000
In 5.585 2.792 0.933
In 0.000 2.792 2.799
Ga 4.231 -0.606 1.235
Ga 6.939 -0.606 1.235
Ga 5.585 -2.792 2.799
Ga 2.186 1.438 0.631
Ga 8.984 1.438 0.631
Ga 4.231 4.979 -1.235
Ga 1.354 -0.606 2.497
Ga 2.186 4.146 0.631
Ga 3.399 -1.438 4.363
Ga 2.186 7.023 -0.631
Ga 3.399 1.438 3.101
Ga 4.231 6.191 1.235
Ga 1.354 0.606 4.967
Ga -3.399 4.146 3.101
Ga 3.399 4.146 3.101
Ga 0.000 8.377 0.933
Ga -1.354 6.191 2.497
Ga 1.354 6.191 2.497
```

=====

Record 2
DFT (PBE-GGA) results for a geometry-optimized Mn2CrAgP structure.

V = 17.90 Å³/atom
Electronic total energy = -6.635 eV/atom
ΔH_f (0 K) = 0.609 eV/atom
Distance to the lowest polymorph of the same formula = 0.000 eV per atom

Geometry as extended XYZ:
```
5
Lattice="4.362 0.000 0.000 0.000 4.362 0.000 0.000 0.000 4.703" Properties=species:S:1:pos:R:3 pbc="T T T"
Mn 0.000 2.181 0.000
Mn 2.181 0.000 0.000
Cr 0.000 0.000 2.351
Ag 2.181 2.181 2.351
P 2.181 2.181 0.000
```

=====

Record 3
DFT (PBE-GGA) results for a geometry-optimized Ac4Sm2Pb3N2 structure.

V = 32.34 Å³/atom
Electronic total energy = -5.601 eV/atom
Formation energy without anion corrections = -0.72 eV/atom

Geometry as extended XYZ:
```
11
Lattice="-2.576 2.576 13.408 2.576 -2.576 13.408 2.576 2.576 -13.408" Properties=species:S:1:pos:R:3 pbc="T T T"
Ac 2.576 0.000 2.371
Ac 2.576 0.000 11.037
Ac 0.000 2.576 2.371
Ac 0.000 2.576 11.037
Sm 0.000 0.000 5.250
Sm 0.000 0.000 21.566
Pb 0.000 0.000 8.551
Pb 0.000 0.000 13.408
Pb 0.000 0.000 18.265
N 0.000 0.000 2.976
N 0.000 0.000 23.840
```

=====

Record 4
DFT (PBE-GGA) results for a geometry-optimized PmPu2In9 structure.

V = 25.47 Å³/atom
Electronic total energy = -5.145 eV/atom
ΔH_f (0 K) = -0.307 eV/atom

Geometry as extended XYZ:
```
12
Lattice="4.667 0.000 0.000 0.000 4.667 0.000 0.000 0.000 14.028" Properties=species:S:1:pos:R:3 pbc="T T T"
Pm 0.000 0.000 0.000
Pu 0.000 0.000 4.681
Pu 0.000 0.000 9.347
In 0.000 2.334 2.376
In 0.000 2.334 7.014
In 0.000 2.334 11.652
In 2.334 0.000 2.376
In 2.334 0.000 7.014
In 2.334 0.000 11.652
In 2.334 2.334 0.000
In 2.334 2.334 4.691
In 2.334 2.334 9.337
```

=====

Record 5
DFT (PBE-GGA) results for a geometry-optimized YHf2Mn2 structure.

V = 20.02 Å³/atom
Electronic total energy = -8.864 eV/atom
ΔH_f (0 K) = 0.078 eV/atom
Distance to the lowest polymorph of the same formula = 0.000 eV per atom

Geometry as extended XYZ:
```
10
Lattice="7.680 0.000 0.000 0.000 7.680 0.000 0.000 0.000 3.394" Properties=species:S:1:pos:R:3 pbc="T T T"
Y 0.000 0.000 0.000
Y 3.840 3.840 0.000
Hf 1.211 2.629 1.697
Hf 2.629 6.469 1.697
Hf 5.051 1.211 1.697
Hf 6.469 5.051 1.697
Mn 0.957 4.797 0.000
Mn 2.884 0.957 0.000
Mn 4.797 6.724 0.000
Mn 6.724 2.884 0.000
```

=====

Record 6
DFT (PBE-GGA) results for a geometry-optimized LiGaTc2Bi structure.

V = 17.54 Å³/atom
Electronic total energy = -4.771 eV/atom
ΔH_f (0 K) = 1.139 eV/atom

Geometry as extended XYZ:
```
5
Lattice="4.442 0.000 0.000 0.000 4.442 0.000 0.000 0.000 4.444" Properties=species:S:1:pos:R:3 pbc="T T T"
Li 0.000 0.000 0.000
Ga 2.221 2.221 2.222
Tc 0.000 2.221 0.000
Tc 2.221 0.000 0.000
Bi 0.000 0.000 2.222
```

=====

Record 7
DFT (PBE-GGA) results for a geometry-optimized TmGe3Pd5 structure.

V = 18.22 Å³/atom
Electronic total energy = -5.471 eV/atom
ΔH_f (0 K) = -0.550 eV/atom

Geometry as extended XYZ:
```
18
Lattice="1.870 -6.698 0.000 1.870 6.698 0.000 0.000 0.000 13.091" Properties=species:S:1:pos:R:3 pbc="T T T"
Tm 1.870 5.276 9.818
Tm 1.870 -5.276 3.273
Ge 1.870 4.936 3.273
Ge 1.870 1.629 0.561
Ge 1.870 1.629 5.985
Ge 1.870 -1.629 7.106
Ge 1.870 -1.629 12.530
Ge 1.870 -4.936 9.818
Pd 0.000 0.000 0.000
Pd 0.000 0.000 6.545
Pd 1.870 3.998 0.963
Pd 1.870 3.998 5.583
Pd 1.870 0.586 8.485
Pd 1.870 0.586 11.151
Pd 1.870 -0.586 1.940
Pd 1.870 -0.586 4.606
Pd 1.870 -3.998 7.508
Pd 1.870 -3.998 12.128
```

=====

Record 8
DFT (PBE-GGA) results for a geometry-optimized YAgSbTe2 structure.

V = 31.26 Å³/atom
Electronic total energy = -3.866 eV/atom
Formation energy without anion corrections = 0.08 eV/atom
Distance to the lowest polymorph of the same formula = 0.000 eV per atom

Geometry as extended XYZ:
```
5
Lattice="5.439 0.000 0.000 0.000 5.439 0.000 0.000 0.000 5.283" Properties=species:S:1:pos:R:3 pbc="T T T"
Y 0.000 0.000 0.000
Ag 2.719 2.719 2.641
Sb 2.719 2.719 0.000
Te 0.000 2.719 2.641
Te 2.719 0.000 2.641
```